Record 1
HPbS3: optimized geometry, GGA-PBE.

Volume, Å³/atom: 16.824
Crystal system: cubic
Magnetization, μB/cell: 0.00
Energy above the lowest structure with this stoichiometry, kJ per mole of atoms: 0.0

a b c (Å): 4.3816 4.3816 4.3816
angles (deg): 90.00 90.00 90.00
Closest atoms and distances in Å follow each position.
Fractional positions:
H 0.0000 0.0000 0.0000  6 S 2.19
Pb 0.5000 0.5000 0.5000  12 S 3.10
S 0.0000 0.0000 0.5000  2 H 2.19
S 0.5000 0.0000 0.0000  2 H 2.19
S 0.0000 0.5000 0.0000  2 H 2.19

=====

Record 2
NpTl2GeS4: optimized geometry, GGA-PBE.

Volume, Å³/atom: 25.842
Crystal system: monoclinic
Magnetization, μB/cell: 3.00
Formation energy without anion corrections, eV per atom: -0.6862

a b c (Å): 4.0225 7.7152 6.9641
angles (deg): 73.05 90.00 90.00
Closest atoms and distances in Å follow each position.
Fractional positions:
Tl 0.0000 0.0000 0.0000  6 S 3.26-3.28
Tl 0.5000 0.0000 0.5000  6 S 3.21-3.24
S 0.5000 0.6928 0.2725  2 Np 2.72, 1 Ge 2.73
S 0.5000 0.3072 0.7275  2 Np 2.72, 1 Ge 2.73
S 0.0000 0.3089 0.2387  1 Np 2.66, 2 Ge 2.75
S 0.0000 0.6911 0.7613  1 Np 2.66, 2 Ge 2.75
Ge 0.5000 0.5000 0.0000  6 S 2.73-2.75
Np 0.0000 0.5000 0.5000  6 S 2.66-2.72

=====

Record 3
Sr3Ge5Pt6: optimized geometry, GGA-PBE.

Volume, Å³/atom: 20.567
Crystal system: orthorhombic
DFT formation energy, eV/atom: -0.754
Magnetization, μB/cell: 0.00

a b c (Å): 4.1685 10.8101 12.7800
angles (deg): 90.00 90.00 90.00
Closest atoms and distances in Å follow each position.
Fractional positions:
Ge 0.0000 0.8893 0.0000  4 Pt 2.52-2.54
Ge 0.5000 0.1457 0.1743  5 Pt 2.54-2.62
Ge 0.5000 0.1107 0.5000  4 Pt 2.52-2.54
Ge 0.5000 0.4865 0.3727  5 Pt 2.53-2.68
Ge 0.5000 0.4865 0.6273  5 Pt 2.53-2.68
Ge 0.0000 0.5135 0.1273  5 Pt 2.53-2.68
Ge 0.0000 0.8543 0.3257  5 Pt 2.54-2.62
Ge 0.5000 0.1457 0.8257  5 Pt 2.54-2.62
Ge 0.0000 0.5135 0.8727  5 Pt 2.53-2.68
Ge 0.0000 0.8543 0.6743  5 Pt 2.54-2.62
Pt 0.0000 0.5013 0.5000  4 Ge 2.65, 2 Pt 2.82
Pt 0.0000 0.0112 0.8301  4 Ge 2.54-2.62
Pt 0.5000 0.3802 0.1967  4 Ge 2.53-2.68, 1 Pt 2.82
Pt 0.0000 0.6198 0.6967  4 Ge 2.53-2.68, 1 Pt 2.82
Pt 0.0000 0.9794 0.5000  4 Ge 2.52-2.61
Pt 0.5000 0.0206 0.0000  4 Ge 2.52-2.61
Pt 0.5000 0.4987 0.0000  4 Ge 2.65, 2 Pt 2.82
Pt 0.5000 0.9888 0.3301  4 Ge 2.54-2.62
Pt 0.5000 0.9888 0.6699  4 Ge 2.54-2.62
Pt 0.5000 0.3802 0.8033  4 Ge 2.53-2.68, 1 Pt 2.82
Pt 0.0000 0.0112 0.1699  4 Ge 2.54-2.62
Pt 0.0000 0.6198 0.3033  4 Ge 2.53-2.68, 1 Pt 2.82
Sr 0.0000 0.2609 0.0000  6 Ge 3.18-3.29, 10 Pt 3.31-3.51
Sr 0.0000 0.2536 0.3480  4 Pt 3.16-3.47, 6 Ge 3.24-3.28
Sr 0.0000 0.2536 0.6520  4 Pt 3.16-3.47, 6 Ge 3.24-3.28
Sr 0.5000 0.7464 0.1520  4 Pt 3.16-3.47, 6 Ge 3.24-3.28
Sr 0.5000 0.7391 0.5000  6 Ge 3.18-3.29, 10 Pt 3.31-3.51
Sr 0.5000 0.7464 0.8480  4 Pt 3.16-3.47, 6 Ge 3.24-3.28

=====

Record 4
Nd2Cd5In: optimized geometry, GGA-PBE.

Volume, Å³/atom: 26.073
Crystal system: orthorhombic
DFT formation energy, eV/atom: -0.286
Magnetization, μB/cell: 0.00
Energy above the lowest structure with this stoichiometry, kJ per mole of atoms: 1.5

a b c (Å): 4.7105 9.1914 9.9681
angles (deg): 90.00 90.00 104.85
Closest atoms and distances in Å follow each position.
Fractional positions:
Cd 0.6093 0.2187 0.7500  1 In 2.77, 2 Cd 2.86
Cd 0.1935 0.3869 0.6045  6 Cd 2.85-3.14
Cd 0.1935 0.3869 0.8955  6 Cd 2.85-3.14
Cd 0.6441 0.2882 0.4703  1 In 2.80, 4 Cd 2.85-2.98
Cd 0.6441 0.2882 0.0297  1 In 2.80, 4 Cd 2.85-2.98
Cd 0.3559 0.7118 0.9703  1 In 2.80, 4 Cd 2.85-2.98
Cd 0.8065 0.6131 0.3955  6 Cd 2.85-3.14
Cd 0.3907 0.7813 0.2500  1 In 2.77, 2 Cd 2.86
Cd 0.3559 0.7118 0.5297  1 In 2.80, 4 Cd 2.85-2.98
Cd 0.8065 0.6131 0.1045  6 Cd 2.85-3.14
Nd 0.0000 0.0000 0.5000  6 Cd 3.49-3.59, 4 In 3.53
Nd 0.0000 0.0000 0.0000  6 Cd 3.49-3.59, 4 In 3.53
Nd 0.8047 0.6094 0.7500  11 Cd 3.35-3.53, 2 In 3.54
Nd 0.1953 0.3906 0.2500  11 Cd 3.35-3.53, 2 In 3.54
In 0.4537 0.9073 0.7500  3 Cd 2.77-2.80
In 0.5463 0.0927 0.2500  3 Cd 2.77-2.80

=====

Record 5
Cd5As3: optimized geometry, GGA-PBE.

Volume, Å³/atom: 24.929
Crystal system: triclinic
DFT formation energy, eV/atom: -0.013
Magnetization, μB/cell: 0.00
Energy above the lowest structure with this stoichiometry, kJ per mole of atoms: 0.0

a b c (Å): 8.5344 8.5964 7.6117
angles (deg): 92.02 91.10 134.27
Closest atoms and distances in Å follow each position.
Fractional positions:
Cd 0.4538 0.7299 0.8031  4 As 2.71-3.03
Cd 0.1130 0.2415 0.3467  3 As 2.75-2.91, 1 Cd 2.97
Cd 0.7501 0.6182 0.3620  3 As 2.75-2.91, 1 Cd 3.01
Cd 0.9857 0.4860 0.2253  1 As 2.85, 5 Cd 2.87-3.12
Cd 0.6364 0.1389 0.4614  2 As 2.66-2.68
Cd 0.2135 0.9381 0.2495  3 As 2.82-2.93, 3 Cd 2.88-3.08
Cd 0.9488 0.2321 0.8387  4 As 2.66-2.96
Cd 0.2295 0.9573 0.8045  4 As 2.71-3.02
Cd 0.7137 0.4271 0.8467  4 As 2.66-2.90
Cd 0.4349 0.6999 0.2488  3 As 2.80-3.07, 2 Cd 2.87-2.97
As 0.0637 0.5669 0.6635  4 Cd 2.72-2.75
As 0.5888 0.0903 0.0563  8 Cd 2.85-3.08
As 0.6580 0.6616 0.0139  1 As 2.47, 2 Cd 2.66-2.71
As 0.0305 0.0300 0.0135  1 As 2.47, 2 Cd 2.66-2.71
As 0.7516 0.9282 0.5315  6 Cd 2.66-2.91
As 0.4214 0.2539 0.5347  6 Cd 2.68-2.91

=====

Record 6
ZnHgIr2: optimized geometry, GGA-PBE.

Volume, Å³/atom: 15.988
Crystal system: tetragonal
DFT formation energy, eV/atom: 0.369
Magnetization, μB/cell: 0.00

a b c (Å): 4.8287 4.8287 4.8287
angles (deg): 130.31 130.31 72.92
Closest atoms and distances in Å follow each position.
Fractional positions:
Hg 0.7500 0.2500 0.5000  8 Ir 2.81-2.87, 4 Zn 2.81
Ir 0.2500 0.7500 0.5000  4 Ir 2.81, 4 Zn 2.81, 4 Hg 2.87
Ir 0.0000 0.0000 0.0000  4 Ir 2.81, 4 Hg 2.81, 4 Zn 2.87
Zn 0.5000 0.5000 0.0000  4 Hg 2.81, 8 Ir 2.81-2.87

=====

> Which formula does entry 2 have?

NpTl2GeS4

=====

Repeat the second record exactly.
NpTl2GeS4: optimized geometry, GGA-PBE.

Volume, Å³/atom: 25.842
Crystal system: monoclinic
Magnetization, μB/cell: 3.00
Formation energy without anion corrections, eV per atom: -0.6862

a b c (Å): 4.0225 7.7152 6.9641
angles (deg): 73.05 90.00 90.00
Closest atoms and distances in Å follow each position.
Fractional positions:
Tl 0.0000 0.0000 0.0000  6 S 3.26-3.28
Tl 0.5000 0.0000 0.5000  6 S 3.21-3.24
S 0.5000 0.6928 0.2725  2 Np 2.72, 1 Ge 2.73
S 0.5000 0.3072 0.7275  2 Np 2.72, 1 Ge 2.73
S 0.0000 0.3089 0.2387  1 Np 2.66, 2 Ge 2.75
S 0.0000 0.6911 0.7613  1 Np 2.66, 2 Ge 2.75
Ge 0.5000 0.5000 0.0000  6 S 2.73-2.75
Np 0.0000 0.5000 0.5000  6 S 2.66-2.72

=====

> Look up the volume of the fifth one.

24.929 Å³/atom

=====

> What is the volume in the third record?

20.567 Å³/atom